Entry 1:
A plane-wave DFT calculation with PBE was carried out for an optimized crystal structure of LaPm2MgN.

Results
ΔE_f (raw) = -611 meV per atom

Cell lengths 5.0486, 5.0486, 5.1551 Å; angles 90.00, 90.00, 90.00 degrees
Last column: nearest neighbours and their distance in Å.
Fractional positions:
La 0.0000 0.0000 0.0000  2 N 2.58
Pm 0.0000 0.5000 0.5000  2 N 2.52
Pm 0.5000 0.0000 0.5000  2 N 2.52
Mg 0.5000 0.5000 0.0000  4 La 3.57, 8 Pm 3.61
N 0.0000 0.0000 0.5000  4 Pm 2.52, 2 La 2.58

Entry 2:
A plane-wave DFT calculation with PBE was carried out for an optimized crystal structure of CuP2Pd8.

Results
E_form = -3.5 eV per formula unit
Energy relative to the lowest polymorph listed for this composition = 29 meV/atom

Cell lengths 4.7446, 5.4336, 7.1291 Å; angles 108.55, 108.48, 90.71 degrees
Last column: nearest neighbours and their distance in Å.
Fractional positions:
Cu 0.0000 0.0000 0.0000  9 Pd 2.57-2.87
P 0.5851 0.4799 0.7617  7 Pd 2.31-2.57
P 0.9367 0.7370 0.3774  7 Pd 2.33-2.47
Pd 0.0375 0.4971 0.0570  2 P 2.44-2.46, 1 Cu 2.60
Pd 0.0523 0.6108 0.6954  3 P 2.47-2.57, 1 Cu 2.58, 2 Pd 2.73-2.75
Pd 0.2473 0.1127 0.3987  2 P 2.44-2.69, 1 Cu 2.57
Pd 0.4344 0.1329 0.8445  1 P 2.31
Pd 0.4392 0.6617 0.4936  2 P 2.34-2.35
Pd 0.5488 0.7735 0.0866  2 P 2.36-2.42
Pd 0.7052 0.3100 0.2654  1 P 2.33
Pd 0.8451 0.1023 0.6231  2 P 2.34-2.50

Entry 3:
A plane-wave DFT calculation with PBE was carried out for an optimized crystal structure of KAgMo.

Results
E_form = 2.9 eV per formula unit
Energy relative to the lowest polymorph listed for this composition = 304 meV/atom

Cell lengths 8.3469, 8.3469, 8.3469 Å; angles 160.58, 160.58, 27.60 degrees
Last column: nearest neighbours and their distance in Å.
Fractional positions:
K 0.0000 0.0000 0.0000  4 K 2.82
Ag 0.6805 0.6805 0.0000  4 Ag 2.82, 4 Mo 2.93
Mo 0.3132 0.3132 0.0000  4 Mo 2.82, 4 Ag 2.93